1.
A plane-wave DFT calculation with PBEsol was carried out for a relaxed structure of Tl2AsBr.

Calculated values
excess energy over the best structure of this formula in the dataset = 5 meV/atom
space group = Amm2

Cell: 3.4641 5.3462 5.9885 Å, 90.00 106.81 90.00°
Fractional coordinates of all 4 atoms:
As1 0.5074 0.5000 0.0149
Tl1 0.2429 0.5000 0.4857
Tl2 0.0048 0.0000 0.0096
Br1 0.7449 0.0000 0.4898

***

2.
A plane-wave DFT calculation with PBEsol was carried out for a relaxed structure of NiIrSe.

Calculated values
space group = I4mm

Cell: 2.9427 2.9427 5.1456 Å, 106.62 106.62 90.00°
Fractional coordinates of all 3 atoms:
Ir1 0.9980 0.9980 0.9961
Ni1 0.6752 0.6752 0.3504
Se1 0.3267 0.3267 0.6535

***

no.,N(E_F) (states/eV/atom),ΔE_f (raw) (eV/atom)
1,0.423,-0.13
2,0.874,0.28